The following is a PBE calculation of a relaxed structure of SrTeRuO6, from the Alexandria database.

```
9
Lattice="5.308 0.000 0.000 -2.654 4.597 0.000 0.000 0.000 5.415" Properties=species:S:1:pos:R:3 pbc="T T T"
Sr 0.000 0.000 0.000
Te 2.654 1.532 2.708
Ru 0.000 3.065 2.708
O 1.993 0.011 3.808
O 1.006 1.720 1.607
O 3.316 0.011 1.607
O 1.668 2.866 3.808
O 4.302 1.720 3.808
O 3.641 2.866 1.607
```

Calculated values
Spin magnetization (μB/cell): 2.000
Uncorrected formation energy (eV/f.u.): -13.8
E (eV/cell): -57.65